1.
{
  "formula": "ZrHgS2",
  "functional": "GGA-PBE",
  "state": "relaxed",
  "sg": "Pna2_1, No. 33",
  "magmom_total_mub_per_cell": 0.000,
  "formation_energy_uncorrected_kj_per_mol_atoms": -85,
  "cell": [[7.112, 0.000, 0.000], [0.000, 10.194, 0.000], [0.000, 0.000, 6.704]],
  "species": ["Zr", "Zr", "Zr", "Zr", "Hg", "Hg", "Hg", "Hg", "S", "S", "S", "S", "S", "S", "S", "S"],
  "fractional_positions": [[0.048, 0.112, 0.000], [0.452, 0.612, 0.500], [0.548, 0.388, 0.000], [0.952, 0.888, 0.500], [0.050, 0.467, 0.422], [0.450, 0.967, 0.922], [0.550, 0.033, 0.422], [0.950, 0.533, 0.922], [0.010, 0.107, 0.641], [0.219, 0.766, 0.631], [0.281, 0.266, 0.131], [0.490, 0.607, 0.141], [0.510, 0.393, 0.641], [0.719, 0.734, 0.631], [0.781, 0.234, 0.131], [0.990, 0.893, 0.141]]
}


2.
{
  "formula": "Ca4NCl2",
  "functional": "GGA-PBE",
  "state": "relaxed",
  "sg": "I4/mmm, No. 139",
  "magmom_total_mub_per_cell": 0.100,
  "formation_energy_uncorrected_kj_per_mol_atoms": -108,
  "cell": [[-2.522, 2.522, 6.793], [2.522, -2.522, 6.793], [2.522, 2.522, -6.793]],
  "species": ["Ca", "Ca", "Ca", "Ca", "N", "Cl", "Cl"],
  "fractional_positions": [[0.000, 0.500, 0.500], [0.185, 0.185, 0.000], [0.500, 0.000, 0.500], [0.815, 0.815, 0.000], [0.000, 0.000, 0.000], [0.389, 0.389, 0.000], [0.611, 0.611, 0.000]]
}


- Which formula does entry 1 have?
  ZrHgS2